Run A
This record from Alexandria describes a relaxed structure of Sm2IrRh. The functional is GGA-PBE.

```
Sm2IrRh
1.0
-0.432 2.838 -2.188
-3.336 -2.477 -2.554
-3.509 1.716 2.920
Sm Rh Ir
2 1 1
Cartesian
-1.668 -1.238 -1.277 Sm
-1.755 0.858 1.460 Sm
-0.216 1.419 -1.094 Rh
-3.639 1.039 -0.911 Ir
```

Total moment in μB/f.u.: 0.0

=====

Run B
This record from Alexandria describes a relaxed structure of Sm2IrRh. The functional is GGA-PBE.

```
Sm2IrRh
1.0
4.951 0.000 0.000
2.475 4.287 0.000
2.475 1.429 4.042
Ir Sm Rh
1 2 1
Cartesian
4.951 2.858 2.021 Ir
2.475 1.429 1.011 Sm
7.426 4.287 3.032 Sm
0.000 0.000 0.000 Rh
```

Total moment in μB/f.u.: 0.0

=====

List of relative energies, unit meV per atom: run A 20; run B 0

=====

Run A
This record from Alexandria describes a relaxed structure of SmThIrRh. The functional is GGA-PBE.

```
SmThIrRh
1.0
3.927 0.000 0.000
0.000 4.232 0.000
-1.964 0.000 5.514
Sm Rh Th Ir
1 1 1 1
Cartesian
0.000 0.000 1.529 Sm
1.964 2.116 1.021 Rh
1.964 2.116 3.975 Th
0.000 0.000 4.503 Ir
```

Total moment in μB/f.u.: 0.0

=====

Run B
This record from Alexandria describes a relaxed structure of SmThIrRh. The functional is GGA-PBE.

```
SmThIrRh
1.0
-1.159 4.019 2.746
-4.593 1.967 -0.259
-3.131 -0.438 3.878
Sm Th Ir Rh
1 1 1 1
Cartesian
-2.221 1.387 1.591 Sm
-6.663 4.161 4.773 Th
0.000 0.000 0.000 Ir
-4.442 2.774 3.182 Rh
```

Total moment in μB/f.u.: 0.0

=====

List of relative energies, unit meV per atom: run A 0; run B 139